No. 1
## CeNd2PuBi4 (PBE)

Data for a relaxed structure of CeNd2PuBi4.

Results
DOS(E_F) ... 2.84 states/eV/atom
Electronic total energy ... -6.423 eV per atom

Unit cell a=7.943 b=4.592 c=7.960 alpha=90.00 beta=109.47 gamma=90.00
Space group P2/m (No. 10)
Unique sites:
Ce1 0.000 0.000 0.000 x1
Nd1 0.000 0.500 0.500 x1
Nd2 0.500 0.000 0.500 x1
Pu1 0.500 0.500 0.000 x1
Bi1 0.249 0.500 0.246 x2
Bi2 0.252 0.000 0.755 x2

No. 2
## CeNdBiSb (PBE)

Data for a relaxed structure of CeNdBiSb.

Results
DOS(E_F) ... 1.67 states/eV/atom
Electronic total energy ... -5.674 eV per atom

Unit cell a=4.5557 b=4.5557 c=22.3563 alpha=90.00 beta=90.00 gamma=120.00
Space group R3m (No. 160, hexagonal axes)
Unique sites:
Ce1 0.0000 0.0000 0.0000 x3
Nd1 0.0000 0.0000 0.5040 x3
Bi1 0.0000 0.0000 0.7509 x3
Sb1 0.0000 0.0000 0.2528 x3

No. 3
## Ce2NdScBi4 (PBE)

Data for a relaxed structure of Ce2NdScBi4.

Results
DOS(E_F) ... 1.83 states/eV/atom
Electronic total energy ... -5.589 eV per atom

Unit cell a=7.835 b=4.527 c=7.839 alpha=90.00 beta=109.51 gamma=90.00
Space group P2/m (No. 10)
Unique sites:
Ce1 0.000 0.000 0.000 x1
Ce2 0.500 0.500 0.000 x1
Nd1 0.000 0.500 0.500 x1
Sc1 0.500 0.000 0.500 x1
Bi1 0.259 0.000 0.745 x2
Bi2 0.265 0.500 0.263 x2

No. 4
## Ce2NdScBi5 (PBE)

Data for a relaxed structure of Ce2NdScBi5.

Results
DOS(E_F) ... 2.15 states/eV/atom
Electronic total energy ... -4.669 eV per atom

Unit cell a=5.656 b=5.656 c=11.523 alpha=90.00 beta=90.00 gamma=90.00
Space group P4/mmm (No. 123)
Unique sites:
Ce1 0.000 0.000 0.207 x2
Nd1 0.500 0.500 0.000 x1
Sc1 0.500 0.500 0.500 x1
Bi1 0.000 0.000 0.500 x1
Bi2 0.000 0.500 0.000 x2
Bi3 0.500 0.500 0.263 x2

No. 5
## CeNd2ScBi4 (PBE)

Data for a relaxed structure of CeNd2ScBi4.

Results
DOS(E_F) ... 0.90 states/eV/atom
Electronic total energy ... -5.483 eV per atom

Unit cell a=7.822 b=4.532 c=7.849 alpha=90.00 beta=109.46 gamma=90.00
Space group P2/m (No. 10)
Unique sites:
Ce1 0.000 0.000 0.000 x1
Nd1 0.000 0.500 0.500 x1
Nd2 0.500 0.000 0.500 x1
Sc1 0.500 0.500 0.000 x1
Bi1 0.256 0.500 0.240 x2
Bi2 0.264 0.000 0.766 x2

No. 6
## CeNdBiSe (PBE)

Data for a relaxed structure of CeNdBiSe.

Results
DOS(E_F) ... 2.24 states/eV/atom
Electronic total energy ... -5.709 eV per atom

Unit cell a=4.3005 b=4.3005 c=23.3411 alpha=90.00 beta=90.00 gamma=120.00
Space group R3m (No. 160, hexagonal axes)
Unique sites:
Ce1 0.0000 0.0000 0.0000 x3
Nd1 0.0000 0.0000 0.8373 x3
Bi1 0.0000 0.0000 0.4177 x3
Se1 0.0000 0.0000 0.5871 x3

No. 7
## CeNdSm2Bi5 (PBE)

Data for a relaxed structure of CeNdSm2Bi5.

Results
DOS(E_F) ... 0.90 states/eV/atom
Electronic total energy ... -4.433 eV per atom

Unit cell a=5.548 b=5.548 c=12.063 alpha=90.00 beta=90.00 gamma=90.00
Space group P4/mmm (No. 123)
Unique sites:
Ce1 0.000 0.000 0.000 x1
Nd1 0.000 0.000 0.500 x1
Sm1 0.500 0.500 0.229 x2
Bi1 0.000 0.000 0.252 x2
Bi2 0.000 0.500 0.000 x2
Bi3 0.500 0.500 0.500 x1

No. 8
## Ce3Nd2SmBi6 (PBE)

Data for a relaxed structure of Ce3Nd2SmBi6.

Results
DOS(E_F) ... 1.65 states/eV/atom
Electronic total energy ... -5.482 eV per atom

Unit cell a=7.963 b=13.792 c=7.964 alpha=90.00 beta=109.47 gamma=90.00
Space group C2/m (No. 12)
Unique sites:
Ce1 0.000 0.000 0.000 x2
Ce2 0.000 0.333 0.000 x4
Nd1 0.000 0.166 0.500 x4
Sm1 0.000 0.500 0.500 x2
Bi1 0.247 0.500 0.248 x4
Bi2 0.249 0.334 0.751 x8

No. 9
## Tb2CeNdBi4 (PBE)

Data for a relaxed structure of Tb2CeNdBi4.

Results
DOS(E_F) ... 0.99 states/eV/atom
Electronic total energy ... -5.311 eV per atom

Unit cell a=7.872 b=4.549 c=7.883 alpha=90.00 beta=109.42 gamma=90.00
Space group P2/m (No. 10)
Unique sites:
Tb1 0.000 0.000 0.000 x1
Tb2 0.000 0.500 0.500 x1
Ce1 0.500 0.000 0.500 x1
Nd1 0.500 0.500 0.000 x1
Bi1 0.243 0.000 0.746 x2
Bi2 0.244 0.500 0.249 x2

No. 10
## TbCe3Nd2Bi6 (PBE)

Data for a relaxed structure of TbCe3Nd2Bi6.

Results
DOS(E_F) ... 1.69 states/eV/atom
Electronic total energy ... -5.465 eV per atom

Unit cell a=7.946 b=13.763 c=7.945 alpha=90.00 beta=109.49 gamma=90.00
Space group C2/m (No. 12)
Unique sites:
Tb1 0.000 0.000 0.000 x2
Ce1 0.000 0.169 0.500 x4
Ce2 0.000 0.500 0.500 x2
Nd1 0.000 0.334 0.000 x4
Bi1 0.245 0.000 0.749 x4
Bi2 0.247 0.165 0.249 x8

No. 11
## TbCeNd2Bi5 (PBE)

Data for a relaxed structure of TbCeNd2Bi5.

Results
DOS(E_F) ... 0.95 states/eV/atom
Electronic total energy ... -4.458 eV per atom

Unit cell a=5.568 b=5.568 c=11.929 alpha=90.00 beta=90.00 gamma=90.00
Space group P4/mmm (No. 123)
Unique sites:
Tb1 0.000 0.000 0.000 x1
Ce1 0.000 0.000 0.500 x1
Nd1 0.500 0.500 0.276 x2
Bi1 0.000 0.000 0.246 x2
Bi2 0.000 0.500 0.500 x2
Bi3 0.500 0.500 0.000 x1

No. 12
## TbCeNd2Bi4 (PBE)

Data for a relaxed structure of TbCeNd2Bi4.

Results
DOS(E_F) ... 0.89 states/eV/atom
Electronic total energy ... -5.346 eV per atom

Unit cell a=7.923 b=4.580 c=7.932 alpha=90.00 beta=109.44 gamma=90.00
Space group P2/m (No. 10)
Unique sites:
Tb1 0.000 0.000 0.000 x1
Ce1 0.500 0.500 0.000 x1
Nd1 0.000 0.500 0.500 x1
Nd2 0.500 0.000 0.500 x1
Bi1 0.246 0.500 0.244 x2
Bi2 0.249 0.000 0.754 x2

Among the records above, which one has the highest DOS(E_F)?
CeNd2PuBi4

Among the records above, which one has the highest DOS(E_F)?
CeNd2PuBi4

electronic total energy of number 2 (CeNdBiSb)?
-5.674 eV per atom